(1)
TbPm4Y4: optimized geometry, PBE.

Values from the calculation:
- DFT formation energy (eV/atom) = 0.017
- D(E_F) (states/eV/f.u.) = 12.61
- SG = C2/m, No. 12
- size of the total moment (μB per formula unit) = 0.00
- VASP energy (hartree per atom) = -0.201

Unit cell a=5.098 b=8.069 c=9.529 alpha=53.75 beta=74.48 gamma=71.58
Positions (direct):
Y: 0.055 0.223 0.666
Y: 0.945 0.777 0.334
Pm: 0.834 0.331 0.001
Y: 0.611 0.446 0.333
Pm: 0.166 0.669 0.999
Y: 0.389 0.554 0.667
Pm: 0.278 0.111 0.333
Tb: 0.500 0.000 0.000
Pm: 0.722 0.889 0.667

=====

(2)
Cd4Ag3Au2: optimized geometry, PBE.

Values from the calculation:
- DFT formation energy (eV/atom) = -0.089
- D(E_F) (states/eV/f.u.) = 2.42
- SG = C2/m, No. 12
- relative energy among the computed polymorphs (eV per atom) = 0.0202
- size of the total moment (μB per formula unit) = 0.00
- VASP energy (hartree per atom) = -0.080

Unit cell a=4.263 b=6.633 c=6.824 alpha=107.70 beta=108.20 gamma=90.00
Positions (direct):
Au: 0.333 0.999 0.666
Ag: 0.889 0.339 0.778
Au: 0.667 0.001 0.334
Cd: 0.777 0.679 0.555
Cd: 0.549 0.322 0.098
Ag: 0.111 0.661 0.222
Cd: 0.223 0.321 0.445
Cd: 0.451 0.678 0.902
Ag: 0.000 0.000 0.000

=====

(3)
Rb2CaBi2Pb: optimized geometry, PBE.

Values from the calculation:
- DFT formation energy (eV/atom) = -0.482
- SG = Ibam, No. 72
- size of the total moment (μB per formula unit) = 0.00
- VASP energy (hartree per atom) = -0.112

Unit cell a=7.598 b=7.742 c=10.442 alpha=111.76 beta=111.34 gamma=90.00
Positions (direct):
Ca: 0.000 0.750 0.000
Rb: 0.449 0.177 0.354
Bi: 0.864 0.105 0.210
Rb: 0.551 0.823 0.646
Bi: 0.654 0.395 0.790
Bi: 0.346 0.605 0.210
Pb: 0.500 0.250 0.000
Ca: 0.000 0.250 0.000
Bi: 0.136 0.895 0.790
Rb: 0.096 0.323 0.646
Rb: 0.904 0.677 0.354
Pb: 0.500 0.750 0.000

=====

(4)
CoCuPt2: optimized geometry, PBE.

Values from the calculation:
- DFT formation energy (eV/atom) = -0.037
- D(E_F) (states/eV/f.u.) = 3.51
- SG = P4mm, No. 99
- size of the total moment (μB per formula unit) = 2.27
- VASP energy (hartree per atom) = -0.215

Unit cell a=2.728 b=2.728 c=7.383 alpha=90.00 beta=90.00 gamma=90.00
Positions (direct):
Cu: 0.500 0.500 0.736
Pt: 0.000 0.000 0.984
Co: 0.000 0.000 0.510
Pt: 0.500 0.500 0.271

=====

(5)
AsRuW2: optimized geometry, PBE.

Values from the calculation:
- DFT formation energy (eV/atom) = 0.396
- D(E_F) (states/eV/f.u.) = 4.34
- SG = F-43m, No. 216
- size of the total moment (μB per formula unit) = 0.00
- VASP energy (hartree per atom) = -0.351

Unit cell a=4.436 b=4.436 c=4.436 alpha=60.00 beta=60.00 gamma=60.00
Positions (direct):
As: 0.500 0.500 0.500
W: 0.000 0.000 0.000
Ru: 0.750 0.750 0.750
W: 0.250 0.250 0.250

=====

(6)
Tl2InBr5: optimized geometry, PBE.

Values from the calculation:
- D(E_F) (states/eV/f.u.) = 0.00
- SG = Cm, No. 8
- size of the total moment (μB per formula unit) = 0.00
- VASP energy (hartree per atom) = -0.103
- E_form (uncorrected) (meV/atom) = -828.0

Unit cell a=7.734 b=7.734 c=7.970 alpha=118.99 beta=119.02 gamma=90.00
Positions (direct):
Tl: 0.196 0.696 0.392
Br: 0.761 0.763 0.521
Br: 0.798 0.798 0.070
In: 0.981 0.981 0.962
Br: 0.274 0.274 0.073
Tl: 0.696 0.193 0.392
Br: 0.272 0.798 0.070
Br: 0.799 0.274 0.073

=====

(7)
Nd2ZrScPt2: optimized geometry, PBE.

Values from the calculation:
- DFT formation energy (eV/atom) = -0.858
- D(E_F) (states/eV/f.u.) = 6.36
- SG = Ibam, No. 72
- size of the total moment (μB per formula unit) = 0.00
- VASP energy (hartree per atom) = -0.255

Unit cell a=6.598 b=6.594 c=8.308 alpha=113.40 beta=113.39 gamma=90.00
Positions (direct):
Zr: 0.500 0.750 0.000
Nd: 0.055 0.313 0.627
Pt: 0.356 0.604 0.207
Nd: 0.571 0.813 0.627
Nd: 0.429 0.187 0.373
Nd: 0.945 0.687 0.373
Sc: 0.000 0.750 0.000
Zr: 0.500 0.250 0.000
Pt: 0.851 0.104 0.207
Sc: 0.000 0.250 0.000
Pt: 0.149 0.896 0.793
Pt: 0.644 0.396 0.793

=====

(8)
Se4Br5Cl2: optimized geometry, PBE.

Values from the calculation:
- D(E_F) (states/eV/f.u.) = 4.87
- SG = C2/m, No. 12
- size of the total moment (μB per formula unit) = 0.64
- VASP energy (hartree per atom) = -0.088
- E_form (uncorrected) (meV/atom) = -19.5

Unit cell a=11.731 b=11.731 c=8.940 alpha=144.02 beta=71.73 gamma=128.48
Positions (direct):
Br: 0.500 0.000 0.500
Br: 0.601 0.355 0.443
Br: 0.912 0.158 0.557
Cl: 0.016 0.764 0.780
Br: 0.088 0.842 0.443
Se: 0.449 0.321 0.770
Se: 0.127 0.327 0.454
Br: 0.399 0.645 0.557
Cl: 0.984 0.236 0.220
Se: 0.873 0.673 0.546
Se: 0.551 0.679 0.230